#w
## Zn2Ag3Au2 (PBE)

Data for a geometry-optimized Zn2Ag3Au2 structure.

The structure in CIF format:
```
data_Zn2Ag3Au2
_space_group_name_H-M_alt 'I m m m'
_space_group_IT_number 71
_space_group_name_Hall '-I 2 2'
_cell_length_a 2.927
_cell_length_b 4.253
_cell_length_c 19.415
_cell_angle_alpha 90.00
_cell_angle_beta 90.00
_cell_angle_gamma 90.00
loop_
_atom_site_label
_atom_site_type_symbol
_atom_site_fract_x
_atom_site_fract_y
_atom_site_fract_z
Zn1 Zn 0.000 0.000 0.152
Ag1 Ag 0.000 0.000 0.291
Ag2 Ag 0.000 0.500 0.500
Au1 Au 0.000 0.500 0.073
```


#x
## Zn2Ag3Au2 (PBE)

Data for a geometry-optimized Zn2Ag3Au2 structure.

The structure in CIF format:
```
data_Zn2Ag3Au2
_space_group_name_H-M_alt 'I 21 3'
_space_group_IT_number 199
_space_group_name_Hall 'I 2b 2c 3'
_cell_length_a 7.946
_cell_length_b 7.946
_cell_length_c 7.946
_cell_angle_alpha 90.00
_cell_angle_beta 90.00
_cell_angle_gamma 90.00
loop_
_atom_site_label
_atom_site_type_symbol
_atom_site_fract_x
_atom_site_fract_y
_atom_site_fract_z
Zn1 Zn 0.041 0.041 0.041
Ag1 Ag 0.000 0.250 0.302
Au1 Au 0.148 0.352 0.648
```


Stability summary - winner: #w; margin: 9.3 kJ/mol of atoms.


#w
## ZnAgAu3 (PBE)

Data for a geometry-optimized ZnAgAu3 structure.

The structure in CIF format:
```
data_ZnAgAu3
_space_group_name_H-M_alt 'P -1'
_space_group_IT_number 2
_space_group_name_Hall '-P 1'
_cell_length_a 2.991
_cell_length_b 7.660
_cell_length_c 7.934
_cell_angle_alpha 104.55
_cell_angle_beta 100.07
_cell_angle_gamma 90.24
loop_
_atom_site_label
_atom_site_type_symbol
_atom_site_fract_x
_atom_site_fract_y
_atom_site_fract_z
Zn1 Zn 0.111 0.058 0.222
Ag1 Ag 0.099 0.543 0.188
Au1 Au 0.302 0.656 0.603
Au2 Au 0.307 0.148 0.615
Au3 Au 0.498 0.786 0.999
```


#x
## ZnAgAu3 (PBE)

Data for a geometry-optimized ZnAgAu3 structure.

The structure in CIF format:
```
data_ZnAgAu3
_space_group_name_H-M_alt 'P m -3 m'
_space_group_IT_number 221
_space_group_name_Hall '-P 4 2 3'
_cell_length_a 5.113
_cell_length_b 5.113
_cell_length_c 5.113
_cell_angle_alpha 90.00
_cell_angle_beta 90.00
_cell_angle_gamma 90.00
loop_
_atom_site_label
_atom_site_type_symbol
_atom_site_fract_x
_atom_site_fract_y
_atom_site_fract_z
Zn1 Zn 0.000 0.000 0.000
Ag1 Ag 0.500 0.500 0.500
Au1 Au 0.000 0.500 0.500
```


#y
## ZnAgAu3 (PBE)

Data for a geometry-optimized ZnAgAu3 structure.

The structure in CIF format:
```
data_ZnAgAu3
_space_group_name_H-M_alt 'P 1 21/m 1'
_space_group_IT_number 11
_space_group_name_Hall '-P 2yb'
_cell_length_a 5.263
_cell_length_b 7.475
_cell_length_c 5.327
_cell_angle_alpha 90.00
_cell_angle_beta 116.12
_cell_angle_gamma 90.00
loop_
_atom_site_label
_atom_site_type_symbol
_atom_site_fract_x
_atom_site_fract_y
_atom_site_fract_z
Zn1 Zn 0.211 0.250 0.363
Ag1 Ag 0.154 0.250 0.831
Au1 Au 0.299 0.750 0.697
Au2 Au 0.342 0.562 0.196
```


Stability summary - winner: #w; margin: 12.0 kJ/mol of atoms.


#w
## Zn3Ag4Au (PBE)

Data for a geometry-optimized Zn3Ag4Au structure.

The structure in CIF format:
```
data_Zn3Ag4Au
_space_group_name_H-M_alt 'C 1 2/m 1'
_space_group_IT_number 12
_space_group_name_Hall '-C 2y'
_cell_length_a 19.063
_cell_length_b 4.622
_cell_length_c 3.078
_cell_angle_alpha 90.00
_cell_angle_beta 99.11
_cell_angle_gamma 90.00
loop_
_atom_site_label
_atom_site_type_symbol
_atom_site_fract_x
_atom_site_fract_y
_atom_site_fract_z
Zn1 Zn 0.000 0.000 0.000
Zn2 Zn 0.237 0.000 0.237
Ag1 Ag 0.116 0.000 0.616
Ag2 Ag 0.142 0.500 0.141
Au1 Au 0.000 0.500 0.500
```


#x
## Zn3Ag4Au (PBE)

Data for a geometry-optimized Zn3Ag4Au structure.

The structure in CIF format:
```
data_Zn3Ag4Au
_space_group_name_H-M_alt 'P m m 2'
_space_group_IT_number 25
_space_group_name_Hall 'P 2 -2'
_cell_length_a 2.883
_cell_length_b 4.310
_cell_length_c 10.798
_cell_angle_alpha 90.00
_cell_angle_beta 90.00
_cell_angle_gamma 90.00
loop_
_atom_site_label
_atom_site_type_symbol
_atom_site_fract_x
_atom_site_fract_y
_atom_site_fract_z
Zn1 Zn 0.000 0.000 0.000
Zn2 Zn 0.000 0.500 0.133
Zn3 Zn 0.500 0.000 0.488
Ag1 Ag 0.000 0.000 0.751
Ag2 Ag 0.000 0.500 0.382
Ag3 Ag 0.500 0.000 0.233
Ag4 Ag 0.500 0.500 0.900
Au1 Au 0.500 0.500 0.627
```


Stability summary - winner: #x; margin: 2.2 kJ/mol of atoms.


#w
## Zn6Ag3Au (PBE)

Data for a geometry-optimized Zn6Ag3Au structure.

The structure in CIF format:
```
data_Zn6Ag3Au
_space_group_name_H-M_alt 'P 1 21/m 1'
_space_group_IT_number 11
_space_group_name_Hall '-P 2yb'
_cell_length_a 7.602
_cell_length_b 4.532
_cell_length_c 9.921
_cell_angle_alpha 90.00
_cell_angle_beta 110.62
_cell_angle_gamma 90.00
loop_
_atom_site_label
_atom_site_type_symbol
_atom_site_fract_x
_atom_site_fract_y
_atom_site_fract_z
Zn1 Zn 0.000 0.250 0.166
Zn2 Zn 0.002 0.250 0.677
Zn3 Zn 0.197 0.750 0.135
Zn4 Zn 0.211 0.250 0.472
Zn5 Zn 0.396 0.750 0.932
Zn6 Zn 0.413 0.250 0.274
Ag1 Ag 0.176 0.750 0.628
Ag2 Ag 0.202 0.250 0.977
Ag3 Ag 0.404 0.250 0.774
Au1 Au 0.384 0.750 0.425
```


#x
## Zn6Ag3Au (PBE)

Data for a geometry-optimized Zn6Ag3Au structure.

The structure in CIF format:
```
data_Zn6Ag3Au
_space_group_name_H-M_alt 'P 1 21/c 1'
_space_group_IT_number 14
_space_group_name_Hall '-P 2ybc'
_cell_length_a 6.815
_cell_length_b 7.224
_cell_length_c 8.994
_cell_angle_alpha 90.00
_cell_angle_beta 130.92
_cell_angle_gamma 90.00
loop_
_atom_site_label
_atom_site_type_symbol
_atom_site_fract_x
_atom_site_fract_y
_atom_site_fract_z
Zn1 Zn 0.033 0.155 0.240
Zn2 Zn 0.305 0.225 0.105
Zn3 Zn 0.405 0.633 0.029
Ag1 Ag 0.222 0.627 0.653
Ag2 Ag 0.500 0.000 0.000
Au1 Au 0.000 0.000 0.500
```


Stability summary - winner: #w; margin: 6.2 kJ/mol of atoms.


#w
## Zn3Ag2Au3 (PBE)

Data for a geometry-optimized Zn3Ag2Au3 structure.

The structure in CIF format:
```
data_Zn3Ag2Au3
_space_group_name_H-M_alt 'I m m m'
_space_group_IT_number 71
_space_group_name_Hall '-I 2 2'
_cell_length_a 3.073
_cell_length_b 4.602
_cell_length_c 18.811
_cell_angle_alpha 90.00
_cell_angle_beta 90.00
_cell_angle_gamma 90.00
loop_
_atom_site_label
_atom_site_type_symbol
_atom_site_fract_x
_atom_site_fract_y
_atom_site_fract_z
Zn1 Zn 0.000 0.000 0.000
Zn2 Zn 0.000 0.500 0.119
Ag1 Ag 0.000 0.000 0.262
Au1 Au 0.000 0.000 0.500
Au2 Au 0.000 0.500 0.374
```


#x
## Zn3Ag2Au3 (PBE)

Data for a geometry-optimized Zn3Ag2Au3 structure.

The structure in CIF format:
```
data_Zn3Ag2Au3
_space_group_name_H-M_alt 'P 63/m c m'
_space_group_IT_number 193
_space_group_name_Hall '-P 6c 2'
_cell_length_a 7.8730
_cell_length_b 7.8730
_cell_length_c 5.5012
_cell_angle_alpha 90.00
_cell_angle_beta 90.00
_cell_angle_gamma 120.00
loop_
_atom_site_label
_atom_site_type_symbol
_atom_site_fract_x
_atom_site_fract_y
_atom_site_fract_z
Zn1 Zn 0.0000 0.3372 0.2500
Ag1 Ag 0.3333 0.6667 0.0000
Au1 Au 0.0000 0.3210 0.7500
```


Stability summary - winner: #w; margin: 6.2 kJ/mol of atoms.


#w
## ZnAg2Au6 (PBE)

Data for a geometry-optimized ZnAg2Au6 structure.

The structure in CIF format:
```
data_ZnAg2Au6
_space_group_name_H-M_alt 'P 42/m n m'
_space_group_IT_number 136
_space_group_name_Hall '-P 4n 2n'
_cell_length_a 8.627
_cell_length_b 8.627
_cell_length_c 4.260
_cell_angle_alpha 90.00
_cell_angle_beta 90.00
_cell_angle_gamma 90.00
loop_
_atom_site_label
_atom_site_type_symbol
_atom_site_fract_x
_atom_site_fract_y
_atom_site_fract_z
Zn1 Zn 0.000 0.000 0.000
Ag1 Ag 0.174 0.174 0.500
Au1 Au 0.008 0.329 0.000
Au2 Au 0.154 0.846 0.500
```


#x
## ZnAg2Au6 (PBE)

Data for a geometry-optimized ZnAg2Au6 structure.

The structure in CIF format:
```
data_ZnAg2Au6
_space_group_name_H-M_alt 'I m m m'
_space_group_IT_number 71
_space_group_name_Hall '-I 2 2'
_cell_length_a 4.835
_cell_length_b 7.882
_cell_length_c 8.619
_cell_angle_alpha 90.00
_cell_angle_beta 90.00
_cell_angle_gamma 90.00
loop_
_atom_site_label
_atom_site_type_symbol
_atom_site_fract_x
_atom_site_fract_y
_atom_site_fract_z
Zn1 Zn 0.000 0.000 0.000
Ag1 Ag 0.000 0.000 0.334
Au1 Au 0.000 0.309 0.164
Au2 Au 0.000 0.323 0.500
```


Stability summary - winner: #w; margin: 4.9 kJ/mol of atoms.


#w
## Zn3Ag3Au (PBE)

Data for a geometry-optimized Zn3Ag3Au structure.

The structure in CIF format:
```
data_Zn3Ag3Au
_space_group_name_H-M_alt 'R -3'
_space_group_IT_number 148
_space_group_name_Hall '-R 3'
_cell_length_a 6.8137
_cell_length_b 6.8137
_cell_length_c 18.0388
_cell_angle_alpha 90.00
_cell_angle_beta 90.00
_cell_angle_gamma 120.00
loop_
_atom_site_label
_atom_site_type_symbol
_atom_site_fract_x
_atom_site_fract_y
_atom_site_fract_z
Zn1 Zn 0.0251 0.2528 0.0581
Ag1 Ag 0.0493 0.2764 0.2117
Au1 Au 0.0000 0.0000 0.3468
```


#x
## Zn3Ag3Au (PBE)

Data for a geometry-optimized Zn3Ag3Au structure.

The structure in CIF format:
```
data_Zn3Ag3Au
_space_group_name_H-M_alt 'C m m m'
_space_group_IT_number 65
_space_group_name_Hall '-C 2 2'
_cell_length_a 9.393
_cell_length_b 9.473
_cell_length_c 5.483
_cell_angle_alpha 90.00
_cell_angle_beta 90.00
_cell_angle_gamma 90.00
loop_
_atom_site_label
_atom_site_type_symbol
_atom_site_fract_x
_atom_site_fract_y
_atom_site_fract_z
Zn1 Zn 0.000 0.000 0.248
Zn2 Zn 0.250 0.250 0.251
Ag1 Ag 0.000 0.332 0.000
Ag2 Ag 0.162 0.500 0.500
Ag3 Ag 0.246 0.000 0.000
Au1 Au 0.000 0.238 0.500
```


Stability summary - winner: #x; margin: 2.2 kJ/mol of atoms.


#w
## Zn6AgAu3 (PBE)

Data for a geometry-optimized Zn6AgAu3 structure.

The structure in CIF format:
```
data_Zn6AgAu3
_space_group_name_H-M_alt 'P 1 21/m 1'
_space_group_IT_number 11
_space_group_name_Hall '-P 2yb'
_cell_length_a 7.595
_cell_length_b 4.541
_cell_length_c 9.899
_cell_angle_alpha 90.00
_cell_angle_beta 110.52
_cell_angle_gamma 90.00
loop_
_atom_site_label
_atom_site_type_symbol
_atom_site_fract_x
_atom_site_fract_y
_atom_site_fract_z
Zn1 Zn 0.004 0.250 0.170
Zn2 Zn 0.007 0.250 0.675
Zn3 Zn 0.197 0.750 0.133
Zn4 Zn 0.209 0.250 0.474
Zn5 Zn 0.394 0.750 0.930
Zn6 Zn 0.408 0.250 0.271
Ag1 Ag 0.387 0.750 0.429
Au1 Au 0.176 0.750 0.628
Au2 Au 0.193 0.250 0.974
Au3 Au 0.418 0.250 0.778
```


#x
## Zn6AgAu3 (PBE)

Data for a geometry-optimized Zn6AgAu3 structure.

The structure in CIF format:
```
data_Zn6AgAu3
_space_group_name_H-M_alt 'C m c 21'
_space_group_IT_number 36
_space_group_name_Hall 'C 2c -2'
_cell_length_a 8.808
_cell_length_b 14.953
_cell_length_c 5.302
_cell_angle_alpha 90.00
_cell_angle_beta 90.00
_cell_angle_gamma 90.00
loop_
_atom_site_label
_atom_site_type_symbol
_atom_site_fract_x
_atom_site_fract_y
_atom_site_fract_z
Zn1 Zn 0.000 0.007 0.000
Zn2 Zn 0.000 0.253 0.838
Zn3 Zn 0.160 0.460 0.834
Zn4 Zn 0.239 0.272 0.559
Ag1 Ag 0.000 0.173 0.296
Au1 Au 0.000 0.385 0.473
Au2 Au 0.191 0.107 0.716
```


Stability summary - winner: #w; margin: 7.2 kJ/mol of atoms.


#w
## Zn2Ag3Au4 (PBE)

Data for a geometry-optimized Zn2Ag3Au4 structure.

The structure in CIF format:
```
data_Zn2Ag3Au4
_space_group_name_H-M_alt 'P -1'
_space_group_IT_number 2
_space_group_name_Hall '-P 1'
_cell_length_a 3.952
_cell_length_b 4.956
_cell_length_c 8.966
_cell_angle_alpha 75.50
_cell_angle_beta 89.81
_cell_angle_gamma 66.65
loop_
_atom_site_label
_atom_site_type_symbol
_atom_site_fract_x
_atom_site_fract_y
_atom_site_fract_z
Zn1 Zn 0.169 0.160 0.225
Ag1 Ag 0.163 0.174 0.553
Ag2 Ag 0.500 0.500 0.000
Au1 Au 0.174 0.151 0.885
Au2 Au 0.493 0.515 0.676
```


#x
## Zn2Ag3Au4 (PBE)

Data for a geometry-optimized Zn2Ag3Au4 structure.

The structure in CIF format:
```
data_Zn2Ag3Au4
_space_group_name_H-M_alt 'C 1 2/c 1'
_space_group_IT_number 15
_space_group_name_Hall '-C 2yc'
_cell_length_a 12.030
_cell_length_b 10.628
_cell_length_c 5.006
_cell_angle_alpha 90.00
_cell_angle_beta 92.25
_cell_angle_gamma 90.00
loop_
_atom_site_label
_atom_site_type_symbol
_atom_site_fract_x
_atom_site_fract_y
_atom_site_fract_z
Zn1 Zn 0.222 0.085 0.425
Ag1 Ag 0.000 0.051 0.250
Ag2 Ag 0.102 0.430 0.935
Au1 Au 0.094 0.289 0.436
Au2 Au 0.164 0.159 0.915
```


Stability summary - winner: #w; margin: 3.8 kJ/mol of atoms.